BiAs2OsSe | Alexandria | SCAN | single point on PBEsol structure; ΔE_f (raw) = 0.53 eV/atom; density of states at the Fermi level = 0.667 states/eV/atom
1.0
4.6392 0.0000 0.0000
0.0000 4.6392 0.0000
0.0000 0.0000 5.3826
As Os Bi Se
2 1 1 1
direct
0.0000 0.5000 0.0000
0.5000 0.0000 0.0000
0.0000 0.0000 0.0000
0.5000 0.5000 0.5000
0.0000 0.0000 0.5000


ScTcPt2 | Alexandria | SCAN | single point on PBEsol structure; DFT formation energy = -0.464 eV per atom; density of states at the Fermi level = 0.867 states/eV/atom
1.0
-1.9062 1.6332 -1.2418
-0.7806 -3.4193 -3.2987
-2.1875 -2.0520 3.8172
Pt Sc Tc
2 1 1
direct
0.2551 0.2602 0.5102
0.7449 0.7398 0.4898
0.5000 0.0000 0.0000
0.0000 0.5000 0.0000


YReGe3 | Alexandria | SCAN | single point on PBEsol structure; DFT formation energy = 0.160 eV per atom; density of states at the Fermi level = 0.861 states/eV/atom
1.0
-3.9576 1.8373 1.9649
-2.6834 -2.4497 -3.1140
-0.1897 -3.6773 3.0563
Y Re Ge
1 1 3
direct
0.5000 0.5000 0.5000
0.0000 0.0000 0.0000
0.0000 0.5000 0.0000
0.0000 0.0000 0.5000
0.5000 0.0000 0.0000


SbPtPb2W | Alexandria | SCAN | single point on PBEsol structure; ΔE_f (raw) = 0.92 eV/atom; density of states at the Fermi level = 0.798 states/eV/atom
1.0
-2.7374 -1.7843 -3.6262
4.2062 -2.6561 -1.8683
-1.2903 -4.1725 3.0271
Pb Sb W Pt
2 1 1 1
direct
0.0000 0.0000 0.5000
0.0000 0.5000 0.0000
0.5000 0.5000 0.5000
0.0000 0.0000 0.0000
0.5000 0.0000 0.0000


CaSn2Cl | Alexandria | SCAN | single point on PBEsol structure; ΔE_f (raw) = -0.16 eV/atom; density of states at the Fermi level = 0.608 states/eV/atom
1.0
-1.1914 -2.5072 4.5183
1.6917 -4.9610 0.8051
3.7931 -0.9599 3.5794
Ca Sn Cl
1 2 1
direct
0.5000 0.5000 0.5000
0.2500 0.2500 0.2500
0.7500 0.7500 0.7500
0.0000 0.0000 0.0000


H4PbC2O6 | Alexandria | SCAN | single point on PBEsol structure; final energy = -12.469 eV/atom; density of states at the Fermi level = 0.000 states/eV/atom
1.0
-6.5189 -1.4311 -3.8201
-2.5152 -4.1988 5.8650
-3.8781 7.5937 3.7733
H Pb C O
16 4 8 24
direct
0.3536 0.0575 0.1635
0.1506 0.3254 0.4038
0.1464 0.0575 0.1635
0.3536 0.4425 0.6635
0.8494 0.6746 0.5962
0.8536 0.5575 0.3365
0.6464 0.5575 0.3365
0.8536 0.9425 0.8365
0.6506 0.8254 0.0962
0.1464 0.4425 0.6635
0.1506 0.1746 0.9038
0.3494 0.1746 0.9038
0.6464 0.9425 0.8365
0.3494 0.3254 0.4038
0.8494 0.8254 0.0962
0.6506 0.6746 0.5962
0.2500 0.4567 0.1008
0.7500 0.5433 0.8992
0.7500 0.9567 0.3992
0.2500 0.0433 0.6008
0.6492 0.2759 0.6291
0.8508 0.2241 0.1291
0.6492 0.2241 0.1291
0.1492 0.7759 0.8709
0.3508 0.7241 0.3709
0.3508 0.7759 0.8709
0.1492 0.7241 0.3709
0.8508 0.2759 0.6291
0.5731 0.1680 0.5471
0.7500 0.7648 0.1401
0.2500 0.2648 0.3599
0.5729 0.3838 0.7102
0.7500 0.7352 0.6401
0.0729 0.6162 0.2898
0.7500 0.5165 0.3904
0.2500 0.4835 0.6096
0.5731 0.3320 0.0471
0.7500 0.9835 0.8904
0.5729 0.1162 0.2102
0.0731 0.8320 0.4529
0.4271 0.8838 0.7898
0.0729 0.8838 0.7898
0.9269 0.3320 0.0471
0.2500 0.2352 0.8599
0.4271 0.6162 0.2898
0.0731 0.6680 0.9529
0.4269 0.6680 0.9529
0.2500 0.0165 0.1096
0.9271 0.3838 0.7102
0.9271 0.1162 0.2102
0.4269 0.8320 0.4529
0.9269 0.1680 0.5471


KCuPH2O5 | Alexandria | SCAN | single point on PBEsol structure; final energy = -8.967 eV/atom
1.0
-3.0862 -2.1529 -5.5612
5.9992 -1.1789 -2.8729
0.2229 -9.4827 4.3566
K Cu P H O
4 4 4 8 20
direct
0.9503 0.0777 0.6785
0.5497 0.5777 0.3215
0.0497 0.9223 0.3215
0.4503 0.4223 0.6785
0.2803 0.7042 0.0078
0.2197 0.2042 0.9922
0.7197 0.2958 0.9922
0.7803 0.7958 0.0078
0.4912 0.9672 0.8223
0.0088 0.4672 0.1777
0.5088 0.0328 0.1777
0.9912 0.5328 0.8223
0.3347 0.8816 0.5942
0.1653 0.3816 0.4058
0.6653 0.1184 0.4058
0.8347 0.6184 0.5942
0.1609 0.7194 0.6059
0.3391 0.2194 0.3941
0.8391 0.2806 0.3941
0.6609 0.7806 0.6059
0.5508 0.9681 0.6840
0.9492 0.4681 0.3160
0.4492 0.0319 0.3160
0.0508 0.5319 0.6840
0.3196 0.1187 0.8345
0.1804 0.6187 0.1655
0.6804 0.8813 0.1655
0.8196 0.3813 0.8345
0.6745 0.0339 0.9169
0.8255 0.5339 0.0831
0.3255 0.9661 0.0831
0.1745 0.4661 0.9169
0.4367 0.7546 0.8648
0.0633 0.2546 0.1352
0.5633 0.2454 0.1352
0.9367 0.7454 0.8648
0.2061 0.8324 0.5533
0.2939 0.3324 0.4467
0.7939 0.1676 0.4467
0.7061 0.6676 0.5533


MgTaRu2 | Alexandria | SCAN | single point on PBEsol structure; DFT formation energy = -0.212 eV per atom; density of states at the Fermi level = 0.597 states/eV/atom
1.0
3.1468 0.0000 0.0000
0.0000 4.2692 -0.2125
-1.5734 -1.9136 4.5839
Mg Ru Ta
1 2 1
direct
0.2538 0.7536 0.5076
0.0071 0.0073 0.0142
0.7539 0.2538 0.5078
0.4852 0.4853 0.9704


CaSO2F | Alexandria | SCAN | single point on PBEsol structure; ΔE_f (raw) = -0.67 eV/atom; density of states at the Fermi level = 0.618 states/eV/atom
1.0
4.3040 0.0000 0.0000
0.0000 4.5636 0.0000
0.0000 0.0000 4.5636
Ca S O F
1 1 2 1
direct
0.0000 0.0000 0.0000
0.5000 0.5000 0.5000
0.0000 0.0000 0.5000
0.0000 0.5000 0.0000
0.5000 0.0000 0.0000


Zn3Cu | Alexandria | SCAN | single point on PBEsol structure; DFT formation energy = -0.048 eV per atom; density of states at the Fermi level = 0.330 states/eV/atom
1.0
-2.4066 -0.5354 -1.0926
2.2562 -0.7294 -1.2843
-0.1447 -7.3524 3.9217
Zn Cu
3 1
direct
0.0000 0.0000 0.5000
0.3333 0.6667 0.7604
0.3333 0.6667 0.2396
0.0000 0.0000 0.0000


InB2Rh2 | Alexandria | SCAN | single point on PBEsol structure; DFT formation energy = -0.307 eV per atom; density of states at the Fermi level = 0.406 states/eV/atom
1.0
2.9108 0.0000 0.0000
0.0000 2.9108 0.0000
-1.4554 -1.4554 7.1327
B Rh In
2 2 1
direct
0.2500 0.7500 0.5000
0.7500 0.2500 0.5000
0.3586 0.3586 0.7173
0.6414 0.6414 0.2827
0.0000 0.0000 0.0000


TlPtSe | Alexandria | SCAN | single point on PBEsol structure; ΔE_f (raw) = 0.02 eV/atom; density of states at the Fermi level = 0.596 states/eV/atom
1.0
-4.1429 0.3236 1.7891
-3.2218 -2.9375 -1.2087
-1.4413 -3.1159 2.9468
Pt Se Tl
1 1 1
direct
0.2500 0.2500 0.2500
0.0000 0.0000 0.0000
0.5000 0.5000 0.5000


TaCrAu2 | Alexandria | SCAN | single point on PBEsol structure; DFT formation energy = 0.096 eV per atom; density of states at the Fermi level = 0.757 states/eV/atom
1.0
-1.0326 1.9878 1.8136
-1.2246 -0.8096 2.4802
7.3718 0.8247 5.5834
Au Cr Ta
2 1 1
direct
0.2532 0.2532 0.2404
0.7468 0.7468 0.7596
0.0000 0.0000 0.0000
0.5000 0.5000 0.5000


YS2I | Alexandria | SCAN | single point on PBEsol structure; ΔE_f (raw) = -1.41 eV/atom
1.0
-2.5841 1.6637 -2.7257
-1.5062 -2.2859 -3.0627
-7.4996 -2.2710 2.6284
I Y S
1 1 2
direct
0.0000 0.0000 0.0000
0.5000 0.5000 0.5000
0.8902 0.8902 0.3294
0.1098 0.1098 0.6706


CdHgAu2 | Alexandria | SCAN | single point on PBEsol structure; DFT formation energy = -0.065 eV per atom; density of states at the Fermi level = 0.256 states/eV/atom
1.0
-0.4575 -0.8370 4.0063
1.6856 -3.7120 -0.5830
3.3217 3.9365 -0.9150
Au Hg Cd
2 1 1
direct
0.0000 0.0000 0.0000
0.7500 0.2500 0.5000
0.2500 0.7500 0.5000
0.5000 0.5000 0.0000


AlAsOs | Alexandria | SCAN | single point on PBEsol structure; DFT formation energy = -0.097 eV per atom; density of states at the Fermi level = 0.673 states/eV/atom
1.0
-1.2752 3.9280 -0.4307
-2.2891 1.0909 -3.2879
-4.0139 0.9448 0.4863
As Os Al
1 1 1
direct
0.5000 0.5000 0.5000
0.2500 0.2500 0.2500
0.0000 0.0000 0.0000


FeCu2PbCl | Alexandria | SCAN | single point on PBEsol structure; ΔE_f (raw) = 0.64 eV/atom; density of states at the Fermi level = 0.436 states/eV/atom
1.0
-3.3524 2.8966 -0.5772
-2.4181 -2.1903 3.0524
1.9601 3.0082 3.7114
Pb Fe Cu Cl
1 1 2 1
direct
0.0000 0.0000 0.5000
0.0000 0.0000 0.0000
0.0000 0.5000 0.0000
0.5000 0.0000 0.0000
0.5000 0.5000 0.5000


ReAg2Cl | Alexandria | SCAN | single point on PBEsol structure; ΔE_f (raw) = 0.40 eV/atom; density of states at the Fermi level = 0.435 states/eV/atom
1.0
-1.5036 2.0373 -1.3749
-2.4502 -0.6839 -1.3528
-5.9952 2.1401 6.7082
Re Ag Cl
1 2 1
direct
0.2460 0.2460 0.2620
0.9953 0.9953 0.0140
0.7456 0.7456 0.7631
0.5130 0.5130 0.4609


Mn2Pd2Cl | Alexandria | SCAN | single point on PBEsol structure; ΔE_f (raw) = 0.33 eV/atom; density of states at the Fermi level = 0.676 states/eV/atom
1.0
3.1196 0.0000 0.0000
0.0000 3.1196 0.0000
-1.5598 -1.5598 7.4212
Mn Pd Cl
2 2 1
direct
0.2500 0.7500 0.5000
0.7500 0.2500 0.5000
0.3848 0.3848 0.7696
0.6152 0.6152 0.2304
0.0000 0.0000 0.0000


Cd2CuAg | Alexandria | SCAN | single point on PBEsol structure; DFT formation energy = 0.034 eV per atom; density of states at the Fermi level = 0.238 states/eV/atom
1.0
-0.5446 -3.3154 -2.7093
3.9572 2.5520 -0.4804
3.6684 -1.7697 1.4282
Cu Ag Cd
1 1 2
direct
0.5000 0.0000 0.5000
0.0000 0.0000 0.0000
0.2500 0.5000 0.2500
0.7500 0.5000 0.7500